Density functional theory data (PBE-GGA) for Zn2P2O7 after structural relaxation.

VASP energy: -69.391 eV/f.u.

```
11
Lattice="4.6469 -2.4427 0.0000 4.6469 2.4427 0.0000 -2.2448 0.0000 6.5398" Properties=species:S:1:pos:R:3 pbc="T T T"
Zn 1.5606 0.0000 1.0350
Zn 5.4884 0.0000 5.5048
P -0.8512 -0.1091 4.6365
P 7.9002 -0.1091 1.9033
O 2.1172 1.3813 2.2261
O 2.5292 1.6373 5.1012
O 4.5198 1.6373 1.4386
O 4.9318 1.3813 4.3138
O 2.8633 -1.4907 0.8265
O 3.5245 -1.7130 3.2699
O 4.1857 -1.4907 5.7134
```

Density functional theory data (PBE-GGA) for ZnPO3 after structural relaxation.

VASP energy: -29.534 eV/f.u.

```
10
Lattice="2.4829 1.4335 5.3491 -2.4829 1.4335 5.3491 0.0000 -2.8670 5.3491" Properties=species:S:1:pos:R:3 pbc="T T T"
Zn 0.0000 0.0000 2.6403
Zn 0.0000 0.0000 13.4071
P 0.0000 0.0000 6.9881
P 0.0000 0.0000 9.0593
O -1.5289 -0.0094 6.6822
O -0.7563 -1.3288 9.3652
O 0.7726 -1.3194 6.6822
O -0.7726 1.3194 9.3652
O 0.7563 1.3288 6.6822
O 1.5289 0.0094 9.3652
```

Density functional theory data (PBE-GGA) for ZrZnPO after structural relaxation.

VASP energy: -25.556 eV/f.u.
total moment: 0.0 μB per formula unit

```
8
Lattice="3.6628 0.0000 0.0000 0.0000 3.6628 0.0000 0.0000 0.0000 8.5774" Properties=species:S:1:pos:R:3 pbc="T T T"
Zr 0.9157 0.9157 1.2144
Zr 2.7471 2.7471 7.3630
Zn 0.9157 2.7471 4.2887
Zn 2.7471 0.9157 4.2887
P 0.9157 0.9157 6.0444
P 2.7471 2.7471 2.5331
O 0.9157 2.7471 0.0000
O 2.7471 0.9157 0.0000
```

Density functional theory data (PBE-GGA) for ZrZnPO after structural relaxation.

VASP energy: -25.352 eV/f.u.
total moment: 0.0 μB per formula unit

```
8
Lattice="4.0156 0.0000 0.0000 0.0000 6.1731 0.0000 0.0000 0.0000 5.3896" Properties=species:S:1:pos:R:3 pbc="T T T"
Zr 0.0000 1.1005 0.0000
Zr 0.0000 5.0727 2.6948
Zn 2.0078 2.3987 3.3308
Zn 2.0078 3.7745 0.6360
P 0.0000 1.4875 2.6383
P 0.0000 4.6857 5.3331
O 2.0078 1.7761 0.0057
O 2.0078 4.3971 2.7005
```

Density functional theory data (PBE-GGA) for ZrZnPO after structural relaxation.

VASP energy: -22.760 eV/f.u.
total moment: 0.0 μB per formula unit

```
8
Lattice="4.4605 0.0000 0.0000 0.0000 4.4605 0.0000 0.0000 0.0000 6.4910" Properties=species:S:1:pos:R:3 pbc="T T T"
Zr 1.1151 3.3454 0.0000
Zr 3.3454 1.1151 0.0000
Zn 1.1151 1.1151 2.9449
Zn 3.3454 3.3454 3.5461
P 1.1151 1.1151 5.3734
P 3.3454 3.3454 1.1176
O 1.1151 3.3454 3.2455
O 3.3454 1.1151 3.2455
```

Density functional theory data (PBE-GGA) for ZrP2O7 after structural relaxation.

VASP energy: -80.160 eV/f.u.
total moment: 0.0 μB per formula unit

```
40
Lattice="8.4478 0.0000 0.0000 0.0000 8.4478 0.0000 0.0000 0.0000 8.4478" Properties=species:S:1:pos:R:3 pbc="T T T"
Zr 0.0000 0.0000 0.0000
Zr 0.0000 4.2239 4.2239
Zr 4.2239 0.0000 4.2239
Zr 4.2239 4.2239 0.0000
P 0.9123 5.1362 7.5355
P 0.9123 7.5355 3.3116
P 3.3116 0.9123 7.5355
P 3.3116 3.3116 3.3116
P 5.1362 5.1362 5.1362
P 5.1362 7.5355 0.9123
P 7.5355 0.9123 5.1362
P 7.5355 3.3116 0.9123
O 0.0000 0.0000 4.2239
O 0.0000 4.2239 0.0000
O 0.4638 6.1061 3.5163
O 0.4638 6.5656 7.7402
O 0.7075 4.6877 6.1061
O 0.7075 7.9840 1.8822
O 1.8822 0.7075 7.9840
O 1.8822 3.5163 3.7601
O 2.3417 4.9314 7.9840
O 2.3417 7.7402 3.7601
O 3.5163 0.4638 6.1061
O 3.5163 3.7601 1.8822
O 3.7601 1.8822 3.5163
O 3.7601 2.3417 7.7402
O 4.2239 0.0000 0.0000
O 4.2239 4.2239 4.2239
O 4.6877 6.1061 0.7075
O 4.6877 6.5656 4.9314
O 4.9314 4.6877 6.5656
O 4.9314 7.9840 2.3417
O 6.1061 0.7075 4.6877
O 6.1061 3.5163 0.4638
O 6.5656 4.9314 4.6877
O 6.5656 7.7402 0.4638
O 7.7402 0.4638 6.5656
O 7.7402 3.7601 2.3417
O 7.9840 1.8822 0.7075
O 7.9840 2.3417 4.9314
```

Density functional theory data (PBE-GGA) for ZrPO4 after structural relaxation.

VASP energy: -48.011 eV/f.u.
total moment: 1.0 μB per formula unit

```
18
Lattice="5.9828 0.0000 0.0000 -2.9914 5.1813 0.0000 0.0000 0.0000 10.0900" Properties=species:S:1:pos:R:3 pbc="T T T"
Zr -1.4957 2.5906 3.3633
Zr 2.9914 0.0000 0.0000
Zr 1.4957 2.5906 6.7267
P -1.4957 2.5906 8.4083
P 2.9914 0.0000 5.0450
P 1.4957 2.5906 1.6817
O -0.3322 2.1966 7.4915
O -1.2552 3.7953 9.3252
O 0.3322 2.1966 2.5985
O -0.9230 4.3706 4.1281
O 2.0684 0.8106 5.9618
O 1.7362 1.3860 0.7648
O 1.2552 3.7953 0.7648
O 0.9230 4.3706 5.9618
O 3.9144 0.8106 4.1281
O 2.6592 2.9846 2.5985
O 4.2466 1.3860 9.3252
O 3.3236 2.9846 7.4915
```

Density functional theory data (PBE-GGA) for Zr2P2O9 after structural relaxation.

VASP energy: -108.972 eV/f.u.
total moment: 0.0 μB per formula unit

```
26
Lattice="6.8119 -3.3333 0.0000 6.8119 3.3333 0.0000 -6.5081 0.0000 7.4837" Properties=species:S:1:pos:R:3 pbc="T T T"
Zr -1.8157 0.0000 2.9901
Zr -1.3084 0.0000 6.4660
Zr 8.4242 0.0000 1.0177
Zr 8.9315 0.0000 4.4936
P 2.0060 0.0000 0.3850
P 1.2855 0.0000 4.9322
P 5.8302 0.0000 2.5515
P 5.1098 0.0000 7.0987
O -1.2583 2.0743 6.3397
O -5.1731 0.0000 6.4736
O -2.7206 0.0000 4.9295
O 2.0043 1.2512 4.4825
O -0.1967 0.0000 4.4224
O 3.5447 0.0000 0.2269
O 8.3740 2.0743 1.1440
O 5.1115 1.2512 3.0012
O 0.9853 0.0000 6.4709
O 6.1304 0.0000 1.0129
O 2.0043 -1.2512 4.4825
O -1.2583 -2.0743 6.3397
O 3.5711 0.0000 7.2568
O 7.3125 0.0000 3.0613
O 5.1115 -1.2512 3.0012
O 9.8364 0.0000 2.5542
O 12.2889 0.0000 1.0101
O 8.3740 -2.0743 1.1440
```

Density functional theory data (PBE-GGA) for PaPbO4 after structural relaxation.

VASP energy: -45.552 eV/f.u.
total moment: 0.0 μB per formula unit

```
6
Lattice="3.8609 0.0000 0.0000 0.0000 3.8609 0.0000 0.0000 0.0000 5.5452" Properties=species:S:1:pos:R:3 pbc="T T T"
Pa 0.0000 0.0000 0.0000
Pb 1.9305 1.9305 2.7726
O 0.0000 1.9305 1.2863
O 0.0000 1.9305 4.2589
O 1.9305 0.0000 1.2863
O 1.9305 0.0000 4.2589
```

Density functional theory data (PBE-GGA) for Pa2Pb2O7 after structural relaxation.

VASP energy: -84.960 eV/f.u.
total moment: 0.0 μB per formula unit

```
11
Lattice="-1.7256 6.5361 3.5153 1.7256 -6.5361 3.5153 1.7256 6.5361 -3.5153" Properties=species:S:1:pos:R:3 pbc="T T T"
Pa 0.0000 3.2344 0.0000
Pa 0.0000 9.8378 0.0000
Pb 0.0000 0.0000 1.8709
Pb 0.0000 6.5361 1.6818
O 1.7256 2.4101 -1.2486
O 1.7256 -2.1404 1.4221
O 1.7256 2.1404 1.4221
O 1.7256 4.6190 0.1849
O 0.0000 4.1260 2.2667
O 0.0000 1.9171 3.7003
O 0.0000 0.0000 6.6713
```

Density functional theory data (PBE-GGA) for PaPdO3 after structural relaxation.

VASP energy: -39.080 eV/f.u.
total moment: 0.0 μB per formula unit

```
5
Lattice="4.4767 0.0000 0.0000 0.0000 4.4767 0.0000 0.0000 0.0000 4.2352" Properties=species:S:1:pos:R:3 pbc="T T T"
Pa 0.0000 0.0000 0.0000
Pd 2.2383 2.2383 0.3989
O 0.0000 0.0000 2.1377
O 0.0000 2.2383 0.1966
O 2.2383 0.0000 0.1966
```

Density functional theory data (PBE-GGA) for Pa2Pd2O5 after structural relaxation.

VASP energy: -64.823 eV/f.u.
total moment: 2.2 μB per formula unit

```
9
Lattice="4.1079 0.0000 0.0000 0.0000 4.1079 0.0000 0.0000 0.0000 6.7707" Properties=species:S:1:pos:R:3 pbc="T T T"
Pa 0.0000 0.0000 0.0000
Pa 0.0000 0.0000 3.3854
Pd 2.0539 2.0539 1.2981
Pd 2.0539 2.0539 5.4726
O 0.0000 2.0539 1.6165
O 0.0000 2.0539 5.1542
O 2.0539 0.0000 1.6165
O 2.0539 0.0000 5.1542
O 2.0539 2.0539 3.3854
```

Density functional theory data (PBE-GGA) for PaPdO3 after structural relaxation.

VASP energy: -38.045 eV/f.u.
total moment: 1.0 μB per formula unit

```
10
Lattice="3.0340 1.7517 4.6124 -3.0340 1.7517 4.6124 0.0000 -3.5034 4.6124" Properties=species:S:1:pos:R:3 pbc="T T T"
Pa 0.0000 0.0000 2.2274
Pa 0.0000 0.0000 11.6097
Pd 0.0000 0.0000 5.3702
Pd 0.0000 0.0000 8.4669
O -2.2318 -0.0460 5.8247
O -1.0760 -1.9558 8.0125
O 1.1558 -1.9097 5.8247
O -1.1558 1.9097 8.0125
O 1.0760 1.9558 5.8247
O 2.2318 0.0460 8.0125
```

Density functional theory data (PBE-GGA) for Pa2Pd2O5 after structural relaxation.

VASP energy: -68.350 eV/f.u.
total moment: 0.5 μB per formula unit

```
9
Lattice="4.1213 0.0000 0.0000 0.0000 4.1213 0.0000 0.0000 0.0000 8.6929" Properties=species:S:1:pos:R:3 pbc="T T T"
Pa 0.0000 0.0000 2.1488
Pa 0.0000 0.0000 6.5441
Pd 2.0607 2.0607 0.0000
Pd 2.0607 2.0607 4.3465
O 0.0000 0.0000 0.0000
O 0.0000 2.0607 2.7884
O 0.0000 2.0607 5.9045
O 2.0607 0.0000 2.7884
O 2.0607 0.0000 5.9045
```

Density functional theory data (PBE-GGA) for PaPdO3 after structural relaxation.

VASP energy: -38.519 eV/f.u.
total moment: 1.0 μB per formula unit

```
10
Lattice="2.9094 1.6797 4.9527 -2.9094 1.6797 4.9527 0.0000 -3.3595 4.9527" Properties=species:S:1:pos:R:3 pbc="T T T"
Pa 0.0000 0.0000 0.0000
Pa 0.0000 0.0000 7.4291
Pd 0.0000 0.0000 3.7145
Pd 0.0000 0.0000 11.1436
O -1.8175 0.2115 6.1909
O -1.0919 -1.4682 8.6672
O 0.7256 -1.6797 6.1909
O -0.7256 1.6797 8.6672
O 1.0919 1.4682 6.1909
O 1.8175 -0.2115 8.6672
```

Density functional theory data (PBE-GGA) for PaPdO3 after structural relaxation.

VASP energy: -38.565 eV/f.u.
total moment: 0.0 μB per formula unit

```
20
Lattice="6.1054 0.0000 0.0000 0.0000 8.4567 0.0000 0.0000 0.0000 5.3597" Properties=species:S:1:pos:R:3 pbc="T T T"
Pa 0.0000 0.0000 0.0000
Pa 0.0000 4.2284 0.0000
Pa 3.0527 0.0000 2.6799
Pa 3.0527 4.2284 2.6799
Pd 0.6533 2.1142 2.6316
Pd 2.3994 6.3425 5.3115
Pd 3.7060 2.1142 0.0483
Pd 5.4520 6.3425 2.7281
O 0.3725 6.3425 0.8179
O 1.2222 4.9070 3.6265
O 1.2222 7.7781 3.6265
O 1.8305 0.6786 0.9467
O 1.8305 3.5498 0.9467
O 2.6802 2.1142 3.4978
O 3.4252 6.3425 1.8620
O 4.2748 4.9070 4.4131
O 4.2748 7.7781 4.4131
O 4.8832 0.6786 1.7332
O 4.8832 3.5498 1.7332
O 5.7329 2.1142 4.5418
```

Density functional theory data (PBE-GGA) for Pm2Pa2O5 after structural relaxation.

VASP energy: -69.502 eV/f.u.
total moment: 3.6 μB per formula unit

```
9
Lattice="4.5302 0.0000 0.0000 0.0000 4.5302 0.0000 0.0000 0.0000 7.2890" Properties=species:S:1:pos:R:3 pbc="T T T"
Pm 0.0000 0.0000 1.5144
Pm 0.0000 0.0000 5.7746
Pa 2.2651 2.2651 0.0000
Pa 2.2651 2.2651 3.6445
O 0.0000 0.0000 3.6445
O 0.0000 2.2651 1.6183
O 0.0000 2.2651 5.6707
O 2.2651 0.0000 1.6183
O 2.2651 0.0000 5.6707
```

Density functional theory data (PBE-GGA) for Pm2Pa2O5 after structural relaxation.

VASP energy: -71.420 eV/f.u.
total moment: 1.2 μB per formula unit

```
9
Lattice="4.4195 0.0000 0.0000 0.0000 4.4195 0.0000 0.0000 0.0000 7.4229" Properties=species:S:1:pos:R:3 pbc="T T T"
Pm 0.0000 0.0000 0.0000
Pm 0.0000 0.0000 3.7115
Pa 2.2097 2.2097 1.5448
Pa 2.2097 2.2097 5.8781
O 0.0000 2.2097 2.1287
O 0.0000 2.2097 5.2942
O 2.2097 0.0000 2.1287
O 2.2097 0.0000 5.2942
O 2.2097 2.2097 3.7115
```

Density functional theory data (PBE-GGA) for Pm6PaO12 after structural relaxation.

VASP energy: -159.626 eV/f.u.
total moment: 1.0 μB per formula unit

```
19
Lattice="5.1418 2.9686 3.2084 -5.1418 2.9686 3.2084 0.0000 -5.9373 3.2084" Properties=species:S:1:pos:R:3 pbc="T T T"
Pm -2.7340 -2.5551 4.9898
Pm -3.5798 1.0902 4.6354
Pm 0.8458 -3.6453 4.6354
Pm -0.8458 3.6453 4.9898
Pm 3.5798 -1.0902 4.9898
Pm 2.7340 2.5551 4.6354
Pa 0.0000 0.0000 4.8126
O -1.3255 -4.2992 4.1837
O -4.3860 -1.0017 5.4415
O -1.9020 -0.3510 3.7609
O -3.0605 3.2975 4.1837
O 1.2550 -1.4717 3.7609
O -0.6470 -1.8227 5.8643
O 0.6470 1.8227 3.7609
O -1.2550 1.4717 5.8643
O 3.0605 -3.2975 5.4415
O 1.9020 0.3510 5.8643
O 4.3859 1.0017 4.1837
O 1.3255 4.2992 5.4415
```